ScTl2NiS | PBE | optimized geometry

Cell: 5.707 3.986 5.707 Å, 90.00 90.00 90.00°
Fractional coordinates of all 5 atoms:
Tl1 0.500 0.000 0.000
Tl2 0.000 0.000 0.500
S1 0.000 0.000 0.000
Ni1 0.000 0.500 0.000
Sc1 0.500 0.500 0.500

Computed properties:
The calculation puts the final energy at -4.006 eV/atom. The magnetic moment comes out at 0.00 μB per atom. Its density of states at the Fermi level is 0.98 states/eV/atom. As for the symmetry: P4/mmm (123).